Here is a relaxed structure of TaTlCl2 from the Alexandria database. Energies are from PBE.

Cell and atoms, written as POSCAR:
```
TaTlCl2
1.0
3.083 0.000 0.000
0.000 3.082 0.000
0.000 0.000 11.304
Ta Tl Cl
1 1 2
Direct
0.500 0.500 0.250
0.500 0.500 0.750
0.000 0.000 0.116
0.000 0.000 0.384
```

- Offset from the most stable computed form: 1.29 eV/f.u.
- Calculated volume: 107 Å³/f.u.